1.
{
  "formula": "CdRu2Cl",
  "functional": "PBE",
  "state": "optimized geometry",
  "lattice": [[-2.283, 2.283, 3.218], [2.283, -2.283, 3.218], [2.283, 2.283, -3.218]],
  "species": ["Cd", "Ru", "Ru", "Cl"],
  "frac_coords": [[0.000, 0.000, 0.000], [0.250, 0.750, 0.500], [0.500, 0.500, 0.000], [0.750, 0.250, 0.500]],
  "rho_g_cm3": 8.67,
  "raw_formation_energy_ev_per_fu": 3.59,
  "dos_at_fermi_per_ev_cell": 5.662,
  "crystal_system": "tetragonal",
  "magnetic_moment_mub_per_atom": 0.22,
  "energy_ev_per_atom": -4.430
}

---

2.
{
  "formula": "CdRu2Cl",
  "functional": "PBE",
  "state": "optimized geometry",
  "lattice": [[3.866, 0.000, 0.000], [0.000, 3.866, 0.000], [0.000, 0.000, 4.879]],
  "species": ["Cd", "Ru", "Ru", "Cl"],
  "frac_coords": [[0.000, 0.000, 0.000], [0.000, 0.500, 0.500], [0.500, 0.000, 0.500], [0.500, 0.500, 0.000]],
  "rho_g_cm3": 7.97,
  "raw_formation_energy_ev_per_fu": 3.80,
  "dos_at_fermi_per_ev_cell": 3.396,
  "crystal_system": "tetragonal",
  "magnetic_moment_mub_per_atom": 1.06,
  "energy_ev_per_atom": -4.379
}

---

3.
{
  "formula": "CdRu2Cl",
  "functional": "PBE",
  "state": "optimized geometry",
  "lattice": [[2.956, 0.000, 0.000], [0.000, 2.936, 0.000], [-0.022, 0.000, 8.094]],
  "species": ["Cd", "Ru", "Ru", "Cl"],
  "frac_coords": [[0.000, 0.000, 0.000], [0.004, 0.000, 0.438], [0.502, 0.500, 0.246], [0.006, 0.500, 0.683]],
  "rho_g_cm3": 8.27,
  "raw_formation_energy_ev_per_fu": 0.39,
  "dos_at_fermi_per_ev_cell": 2.978,
  "crystal_system": "monoclinic",
  "magnetic_moment_mub_per_atom": 0.00,
  "energy_ev_per_atom": -5.232
}

---

Copy entry 3 word for word.
{
  "formula": "CdRu2Cl",
  "functional": "PBE",
  "state": "optimized geometry",
  "lattice": [[2.956, 0.000, 0.000], [0.000, 2.936, 0.000], [-0.022, 0.000, 8.094]],
  "species": ["Cd", "Ru", "Ru", "Cl"],
  "frac_coords": [[0.000, 0.000, 0.000], [0.004, 0.000, 0.438], [0.502, 0.500, 0.246], [0.006, 0.500, 0.683]],
  "rho_g_cm3": 8.27,
  "raw_formation_energy_ev_per_fu": 0.39,
  "dos_at_fermi_per_ev_cell": 2.978,
  "crystal_system": "monoclinic",
  "magnetic_moment_mub_per_atom": 0.00,
  "energy_ev_per_atom": -5.232
}

---

Question: Which formula does entry 1 have?
Answer: CdRu2Cl